# DyHoS | Alexandria | PBE-GGA | optimized geometry
# DOS at the Fermi energy in states/eV/f.u.: 1.59
# E_tot in eV per atom: -5.712
# Formation energy without anion corrections in meV per atom: -1276
data_DyHoS
_chemical_formula_sum 'Dy3 Ho3 S3'
_cell_length_a 3.7770
_cell_length_b 3.7770
_cell_length_c 18.5842
_cell_angle_alpha 90.00
_cell_angle_beta 90.00
_cell_angle_gamma 120.00
_space_group_name_H-M_alt 'R 3 m'
_space_group_IT_number 160
_space_group_name_Hall 'R 3 -2"'
loop_
_atom_site_label
_atom_site_fract_x
_atom_site_fract_y
_atom_site_fract_z
Dy1 0.0000 0.0000 0.0000
Ho1 0.0000 0.0000 0.5060
S1 0.0000 0.0000 0.7537